1.
The following is a DFT calculation (GGA-PBE) of an optimized crystal structure of BaYHg.

Summary:
magnetic moment: 0.00 μB/atom
E above lowest polymorph: 0 meV/atom

Cell: 7.4918 7.4918 3.9531 Å, 74.70 74.70 30.59°
Positions (direct):
Ba 0.0159 0.0159 0.9841
Y 0.2899 0.2899 0.7101
Hg 0.6942 0.6942 0.3058

---

2.
The following is a DFT calculation (GGA-PBE) of an optimized crystal structure of Ba5YHg6.

Summary:
magnetic moment: 0.00 μB/atom

Cell: 5.8113 8.2484 9.2082 Å, 90.00 71.61 90.00°
Positions (direct):
Hg 0.8459 0.7662 0.3082
Hg 0.5000 0.7786 0.0000
Hg 0.5000 0.2214 0.0000
Hg 0.1541 0.2338 0.6918
Hg 0.8459 0.2338 0.3082
Hg 0.1541 0.7662 0.6918
Ba 0.3313 0.0000 0.3374
Ba 0.6687 0.0000 0.6626
Ba 0.6687 0.5000 0.6625
Ba 0.0000 0.5000 0.0000
Ba 0.3313 0.5000 0.3375
Y 0.0000 0.0000 0.0000

---

3.
The following is a DFT calculation (GGA-PBE) of an optimized crystal structure of Ba2YHg.

Summary:
magnetic moment: 0.07 μB/atom

Cell: 11.9010 11.9010 11.9010 Å, 19.77 19.77 19.77°
Last column: magnetic moment on the atom in μB.
Positions (direct):
Ba 0.9921 0.9921 0.9921  0.01
Ba 0.5079 0.5079 0.5079  0.01
Hg 0.2500 0.2500 0.2500  -0.02
Y 0.7500 0.7500 0.7500  0.14

---

no.,calculated formation energy (meV per atom)
1,-261
2,-479
3,12